[1]
PmHoTlGa: optimized geometry, PBE.

energy relative to the elements	-0.463	eV/atom
energy	-4.14	eV/atom
polymorph energy (0 for the lowest one)	0.0	kJ/mol of atoms
calculated volume	25.79	Å³/atom
size of the total moment	0.000	μB/atom

abc: 3.656 3.656 7.720
angles: 90.00 90.00 90.00
Fractional coordinates of all 4 atoms:
Pm  0.000  0.000  0.000
Ho  0.000  0.000  0.465
Tl  0.500  0.500  0.722
Ga  0.500  0.500  0.242

[2]
ScSbI2Br: optimized geometry, PBE.

energy	-2.46	eV/atom
polymorph energy (0 for the lowest one)	91.1	kJ/mol of atoms
calculated volume	37.34	Å³/atom
size of the total moment	0.141	μB/atom

abc: 5.628 5.628 5.895
angles: 90.00 90.00 90.00
Fractional coordinates of all 5 atoms:
Sc  0.000  0.000  0.000
Sb  0.500  0.500  0.000
I  0.000  0.500  0.500
I  0.500  0.000  0.500
Br  0.500  0.500  0.500